# Li3Ac2InAu4

An optimized crystal structure of Li3Ac2InAu4 (PBE, Alexandria via LeMat-Bulk).

Its crystal system is tetragonal. For the total magnetic moment, the calculation gives 0.000 μB per atom. The calculation puts the final energy at -0.265 Ry per atom. The density of states at the Fermi level comes out at 3.66 states/eV/cell.

It has space group P-4m2 (No. 115), with a = 4.5551 Å, b = 4.5551 Å, c = 10.9696 Å, α = 90.00°, β = 90.00° and γ = 90.00°. The distinct sites, in fractional coordinates, are Li at (0.0000, 0.0000, 0.0000), Li at (0.0000, 0.5000, 0.6073), Ac at (0.0000, 0.5000, 0.2659), In at (0.5000, 0.5000, 0.0000), Au at (0.0000, 0.0000, 0.5000), Au at (0.0000, 0.5000, 0.8435) and Au at (0.5000, 0.5000, 0.5000).



# LiAc2In4Au3

An optimized crystal structure of LiAc2In4Au3 (PBE, Alexandria via LeMat-Bulk).

Its crystal system is tetragonal. For the total magnetic moment, the calculation gives 0.000 μB per atom. The calculation puts the final energy at -0.267 Ry per atom. The density of states at the Fermi level comes out at 6.38 states/eV/cell.

It has space group P-4m2 (No. 115), with a = 4.6432 Å, b = 4.6432 Å, c = 11.8309 Å, α = 90.00°, β = 90.00° and γ = 90.00°. The distinct sites, in fractional coordinates, are Li at (0.0000, 0.0000, 0.0000), Ac at (0.0000, 0.5000, 0.7504), In at (0.0000, 0.0000, 0.5000), In at (0.0000, 0.5000, 0.1259), In at (0.5000, 0.5000, 0.5000), Au at (0.0000, 0.5000, 0.3578) and Au at (0.5000, 0.5000, 0.0000).



# Li2AcIn2Au

An optimized crystal structure of Li2AcIn2Au (PBE, Alexandria via LeMat-Bulk).

Its crystal system is tetragonal. For the total magnetic moment, the calculation gives 0.000 μB per atom. The calculation puts the final energy at -0.222 Ry per atom. The density of states at the Fermi level comes out at 4.79 states/eV/cell.

It has space group I4/mmm (No. 139), with a = 4.6499 Å, b = 4.6499 Å, c = 14.3560 Å, α = 90.00°, β = 90.00° and γ = 90.00°. The distinct sites, in fractional coordinates, are Li at (0.0000, 0.0000, 0.1632), Ac at (0.0000, 0.0000, 0.5000), In at (0.0000, 0.5000, 0.2500) and Au at (0.0000, 0.0000, 0.0000).